VASP calculation (PBE-GGA) on a geometry-optimized RbNbTl2F8 structure.

a = 4.9412 Å, b = 6.6675 Å, c = 8.3384 Å
α = 89.99°, β = 89.96°, γ = 95.31°
Last column: nearest neighbours and their distance in Å.
Fractional coordinates of all 12 atoms:
Rb  0.0000  0.0000  0.5000  6 F 2.78-3.07
Nb  0.0000  0.0000  0.0000  6 F 1.93-1.95
Tl  0.5000  0.5000  0.7327  2 F 2.47
Tl  0.5000  0.5000  0.2673  2 F 2.47
F  0.1181  0.8255  0.1689  1 Nb 1.95
F  0.6563  0.8375  0.0000  1 Nb 1.93
F  0.8816  0.1744  0.1689  1 Nb 1.95
F  0.8819  0.1745  0.8311  1 Nb 1.95
F  0.3437  0.1625  0.0000  1 Nb 1.93
F  0.1184  0.8256  0.8311  1 Nb 1.95
F  0.5369  0.7290  0.4999  2 Tl 2.47
F  0.4631  0.2710  0.5001  2 Tl 2.47

Calculated total energy = -5.18 eV per atom
Magnetic moment = 0.000 μB/f.u.
Uncorrected formation energy = -253.03 kJ/mol of atoms